Entry from Alexandria: a relaxed ZrPd2N crystal (GGA-PBE).

Values from the calculation:
* size of the total moment: 0.00 μB per formula unit
* space group: No. 122
* energy: -6.47 eV per atom

CIF file:
```
data_ZrPd2N
_chemical_formula_sum 'Zr2 Pd4 N2'
_symmetry_space_group_name_H-M 'P 1'
_symmetry_Int_Tables_number 1
_cell_length_a 4.819
_cell_length_b 4.819
_cell_length_c 7.061
_cell_angle_alpha 70.05
_cell_angle_beta 70.05
_cell_angle_gamma 90.00
loop_
_symmetry_equiv_pos_as_xyz
'x,y,z'
loop_
_atom_site_label
_atom_site_type_symbol
_atom_site_fract_x
_atom_site_fract_y
_atom_site_fract_z
Zr1 Zr 0.000 0.000 0.000
Zr2 Zr 0.750 0.250 0.500
Pd1 Pd 0.500 0.125 0.250
Pd2 Pd 0.250 0.625 0.250
Pd3 Pd 0.375 0.500 0.750
Pd4 Pd 0.875 0.750 0.750
N1 N 0.500 0.500 0.000
N2 N 0.250 0.750 0.500
```

Entry from Alexandria: a relaxed ZrPdN2 crystal (GGA-PBE).

Values from the calculation:
* size of the total moment: 0.00 μB per formula unit
* energy above the lowest structure with this stoichiometry: 832 meV/atom
* space group: No. 166
* energy: -7.06 eV per atom

CIF file:
```
data_ZrPdN2
_chemical_formula_sum 'Zr1 Pd1 N2'
_symmetry_space_group_name_H-M 'P 1'
_symmetry_Int_Tables_number 1
_cell_length_a 6.457
_cell_length_b 6.457
_cell_length_c 6.457
_cell_angle_alpha 29.17
_cell_angle_beta 29.17
_cell_angle_gamma 29.17
loop_
_symmetry_equiv_pos_as_xyz
'x,y,z'
loop_
_atom_site_label
_atom_site_type_symbol
_atom_site_fract_x
_atom_site_fract_y
_atom_site_fract_z
Zr1 Zr 0.000 0.000 0.000
Pd1 Pd 0.500 0.500 0.500
N1 N 0.887 0.887 0.887
N2 N 0.113 0.113 0.113
```

Entry from Alexandria: a relaxed ZrPdN3 crystal (GGA-PBE).

Values from the calculation:
* size of the total moment: 2.15 μB per formula unit
* space group: No. 221
* energy: -6.60 eV per atom

CIF file:
```
data_ZrPdN3
_chemical_formula_sum 'Zr1 Pd1 N3'
_symmetry_space_group_name_H-M 'P 1'
_symmetry_Int_Tables_number 1
_cell_length_a 4.201
_cell_length_b 4.201
_cell_length_c 4.201
_cell_angle_alpha 90.00
_cell_angle_beta 90.00
_cell_angle_gamma 90.00
loop_
_symmetry_equiv_pos_as_xyz
'x,y,z'
loop_
_atom_site_label
_atom_site_type_symbol
_atom_site_fract_x
_atom_site_fract_y
_atom_site_fract_z
Zr1 Zr 0.000 0.000 0.000
Pd1 Pd 0.500 0.500 0.500
N1 N 0.000 0.500 0.000
N2 N 0.000 0.000 0.500
N3 N 0.500 0.000 0.000
```

Entry from Alexandria: a relaxed PmN2 crystal (GGA-PBE).

Values from the calculation:
* size of the total moment: 0.00 μB per formula unit
* space group: No. 12
* energy: -7.84 eV per atom

CIF file:
```
data_PmN2
_chemical_formula_sum 'Pm1 N2'
_symmetry_space_group_name_H-M 'P 1'
_symmetry_Int_Tables_number 1
_cell_length_a 3.947
_cell_length_b 3.836
_cell_length_c 3.943
_cell_angle_alpha 57.71
_cell_angle_beta 78.53
_cell_angle_gamma 57.63
loop_
_symmetry_equiv_pos_as_xyz
'x,y,z'
loop_
_atom_site_label
_atom_site_type_symbol
_atom_site_fract_x
_atom_site_fract_y
_atom_site_fract_z
Pm1 Pm 0.282 0.025 0.553
N1 N 0.639 0.122 0.911
N2 N 0.924 0.929 0.195
```